--- i ---
# Ba2TlCl (PBE, relaxed)
data_Ba2TlCl
_space_group_name_H-M_alt 'I -4 2 d'
_space_group_IT_number 122
_space_group_name_Hall 'I -4 2bw'
_cell_length_a 8.6776
_cell_length_b 8.6776
_cell_length_c 9.6005
_cell_angle_alpha 90.00
_cell_angle_beta 90.00
_cell_angle_gamma 90.00
loop_
_atom_site_label
_atom_site_fract_x
_atom_site_fract_y
_atom_site_fract_z
Ba1 0.2179 0.2500 0.1250
Tl1 0.0000 0.0000 0.5000
Cl1 0.0000 0.0000 0.0000
# mass density	4.73	g/cm³
# spin magnetization	0.000	μB per atom


--- ii ---
# Ba2TlCl (PBE, relaxed)
data_Ba2TlCl
_space_group_name_H-M_alt 'R -3 m'
_space_group_IT_number 166
_space_group_name_Hall '-R 3 2"'
_cell_length_a 4.6280
_cell_length_b 4.6280
_cell_length_c 26.3111
_cell_angle_alpha 90.00
_cell_angle_beta 90.00
_cell_angle_gamma 120.00
loop_
_atom_site_label
_atom_site_fract_x
_atom_site_fract_y
_atom_site_fract_z
Ba1 0.0000 0.0000 0.2451
Tl1 0.0000 0.0000 0.0000
Cl1 0.0000 0.0000 0.5000
# mass density	5.25	g/cm³
# spin magnetization	0.000	μB per atom


--- iii ---
# Ba2TlCl (PBE, relaxed)
data_Ba2TlCl
_space_group_name_H-M_alt 'F m -3 m'
_space_group_IT_number 225
_space_group_name_Hall '-F 4 2 3'
_cell_length_a 8.5184
_cell_length_b 8.5184
_cell_length_c 8.5184
_cell_angle_alpha 90.00
_cell_angle_beta 90.00
_cell_angle_gamma 90.00
loop_
_atom_site_label
_atom_site_fract_x
_atom_site_fract_y
_atom_site_fract_z
Ba1 0.2500 0.2500 0.2500
Tl1 0.0000 0.0000 0.0000
Cl1 0.0000 0.0000 0.5000
# mass density	5.53	g/cm³
# spin magnetization	0.488	μB per atom


--- iv ---
# Ba2TlCl (PBE, relaxed)
data_Ba2TlCl
_space_group_name_H-M_alt 'P 1 m 1'
_space_group_IT_number 6
_cell_length_a 4.1411
_cell_length_b 6.2585
_cell_length_c 6.2558
_cell_angle_alpha 90.00
_cell_angle_beta 90.00
_cell_angle_gamma 90.00
loop_
_space_group_symop_operation_xyz
'x,y,z'
'x,-y,z'
loop_
_atom_site_label
_atom_site_fract_x
_atom_site_fract_y
_atom_site_fract_z
Ba1 0.0000 0.0000 0.0000
Ba2 0.0026 0.5000 0.5006
Tl1 0.5014 0.0000 0.4997
Cl1 0.9993 0.5000 0.0006
# mass density	5.27	g/cm³
# spin magnetization	0.000	μB per atom


Which one sits at the bottom of the stability order? iii does.


--- i ---
# BaTlCl4 (PBE, relaxed)
data_BaTlCl4
_space_group_name_H-M_alt 'P 1 21/m 1'
_space_group_IT_number 11
_cell_length_a 5.5275
_cell_length_b 9.8589
_cell_length_c 8.9990
_cell_angle_alpha 90.00
_cell_angle_beta 106.97
_cell_angle_gamma 90.00
loop_
_space_group_symop_operation_xyz
'x,y,z'
'-x,-y,-z'
'-x,y+1/2,-z'
'x,-y+1/2,z'
loop_
_atom_site_label
_atom_site_fract_x
_atom_site_fract_y
_atom_site_fract_z
Ba1 0.0550 0.2500 0.0997
Tl1 0.2226 0.7500 0.4309
Cl1 0.1079 0.5612 0.1932
Cl2 0.2579 0.2500 0.5275
Cl3 0.3824 0.7500 0.7698
# mass density	3.42	g/cm³
# spin magnetization	0.000	μB per atom


--- ii ---
# BaTlCl4 (PBE, relaxed)
data_BaTlCl4
_space_group_name_H-M_alt 'F -4 3 m'
_space_group_IT_number 216
_space_group_name_Hall 'F -4 2 3'
_cell_length_a 8.8200
_cell_length_b 8.8200
_cell_length_c 8.8200
_cell_angle_alpha 90.00
_cell_angle_beta 90.00
_cell_angle_gamma 90.00
loop_
_atom_site_label
_atom_site_fract_x
_atom_site_fract_y
_atom_site_fract_z
Ba1 0.0000 0.0000 0.0000
Tl1 0.2500 0.2500 0.2500
Cl1 0.1252 0.1252 0.6252
# mass density	4.68	g/cm³
# spin magnetization	0.174	μB per atom


Which one sits at the bottom of the stability order? ii does.


--- i ---
# Ba2VCl (PBE, relaxed)
data_Ba2VCl
_space_group_name_H-M_alt 'F m -3 m'
_space_group_IT_number 225
_space_group_name_Hall '-F 4 2 3'
_cell_length_a 8.3415
_cell_length_b 8.3415
_cell_length_c 8.3415
_cell_angle_alpha 90.00
_cell_angle_beta 90.00
_cell_angle_gamma 90.00
loop_
_atom_site_label
_atom_site_fract_x
_atom_site_fract_y
_atom_site_fract_z
Ba1 0.2500 0.2500 0.2500
V1 0.0000 0.0000 0.0000
Cl1 0.0000 0.0000 0.5000
# mass density	4.13	g/cm³
# spin magnetization	1.487	μB per atom


--- ii ---
# Ba2VCl (PBE, relaxed)
data_Ba2VCl
_space_group_name_H-M_alt 'I -4 2 d'
_space_group_IT_number 122
_space_group_name_Hall 'I -4 2bw'
_cell_length_a 8.6427
_cell_length_b 8.6427
_cell_length_c 9.2253
_cell_angle_alpha 90.00
_cell_angle_beta 90.00
_cell_angle_gamma 90.00
loop_
_atom_site_label
_atom_site_fract_x
_atom_site_fract_y
_atom_site_fract_z
Ba1 0.2199 0.2500 0.1250
V1 0.0000 0.0000 0.5000
Cl1 0.0000 0.0000 0.0000
# mass density	3.48	g/cm³
# spin magnetization	1.393	μB per atom


Which one sits at the bottom of the stability order? i does.


--- i ---
# BaWCl2 (PBE, relaxed)
data_BaWCl2
_space_group_name_H-M_alt 'C 1 m 1'
_space_group_IT_number 8
_cell_length_a 15.8119
_cell_length_b 3.5448
_cell_length_c 5.0899
_cell_angle_alpha 90.00
_cell_angle_beta 91.20
_cell_angle_gamma 90.00
loop_
_space_group_symop_operation_xyz
'x,y,z'
'x,-y,z'
'x+1/2,y+1/2,z'
'x+1/2,-y+1/2,z'
loop_
_atom_site_label
_atom_site_fract_x
_atom_site_fract_y
_atom_site_fract_z
Ba1 0.0000 0.0000 0.0000
W1 0.3000 0.0000 0.0020
Cl1 0.0144 0.5000 0.5013
Cl2 0.1864 0.5000 0.0158
# mass density	4.57	g/cm³
# spin magnetization	1.002	μB per atom


--- ii ---
# BaWCl2 (PBE, relaxed)
data_BaWCl2
_space_group_name_H-M_alt 'I -4 m 2'
_space_group_IT_number 119
_space_group_name_Hall 'I -4 -2'
_cell_length_a 4.3333
_cell_length_b 4.3333
_cell_length_c 12.2008
_cell_angle_alpha 90.00
_cell_angle_beta 90.00
_cell_angle_gamma 90.00
loop_
_atom_site_label
_atom_site_fract_x
_atom_site_fract_y
_atom_site_fract_z
Ba1 0.0000 0.0000 0.0000
W1 0.0000 0.5000 0.2500
Cl1 0.0000 0.0000 0.5000
Cl2 0.0000 0.5000 0.7500
# mass density	5.68	g/cm³
# spin magnetization	1.079	μB per atom


Which one sits at the bottom of the stability order? ii does.